[1]
The following is a PBE-GGA calculation of crystalline CaCuMo2 at its relaxed geometry, from the Alexandria database.

Summary:
**Magnetic moment**: 0.00 μB/f.u.
**Offset from the most stable computed form**: 288 kJ/mol of formula units
**Crystal system**: tetragonal

Unit cell a=4.5530 b=4.5530 c=18.6786 alpha=90.00 beta=90.00 gamma=90.00
Last column: nearest neighbours and their distance in Å.
Space group I-42d (No. 122)
Unique sites:
Ca1 0.0000 0.0000 0.0000 (multiplicity 4)  4 Cu 3.22, 8 Mo 3.38-3.53
Cu1 0.0000 0.0000 0.5000 (multiplicity 4)  4 Mo 2.60
Mo1 0.0236 0.2500 0.6250 (multiplicity 8)  2 Mo 2.29

***

[2]
The following is a PBE-GGA calculation of crystalline Sr2Ga6TcPd at its relaxed geometry, from the Alexandria database.

Summary:
**Magnetic moment**: 0.00 μB/f.u.
**Crystal system**: triclinic

Unit cell a=6.0223 b=6.7677 c=6.9712 alpha=68.54 beta=64.45 gamma=63.66
Last column: nearest neighbours and their distance in Å.
Space group P-1 (No. 2)
Unique sites:
Sr1 0.2491 0.3375 0.1644 (multiplicity 2)  8 Ga 3.29-3.49
Ga1 0.2165 0.8027 0.2838 (multiplicity 2)  1 Tc 2.48, 1 Pd 2.50, 1 Ga 2.76
Ga2 0.2487 0.8369 0.6656 (multiplicity 2)  1 Pd 2.49, 1 Tc 2.51, 2 Ga 2.76
Ga3 0.3022 0.1980 0.7165 (multiplicity 2)  1 Tc 2.48, 1 Pd 2.50, 1 Ga 2.76
Tc1 0.0000 0.0000 0.0000 (multiplicity 1)  6 Ga 2.48-2.51
Pd1 0.5000 0.5000 0.5000 (multiplicity 1)  6 Ga 2.49-2.50

***

[3]
The following is a PBE-GGA calculation of crystalline AcHoRhAu at its relaxed geometry, from the Alexandria database.

Summary:
**Magnetic moment**: 0.00 μB/f.u.
**Crystal system**: cubic

Unit cell a=7.3387 b=7.3387 c=7.3387 alpha=90.00 beta=90.00 gamma=90.00
Last column: nearest neighbours and their distance in Å.
Space group F-43m (No. 216)
Unique sites:
Ac1 0.0000 0.0000 0.0000 (multiplicity 4)  4 Rh 3.18, 4 Au 3.18
Ho1 0.0000 0.0000 0.5000 (multiplicity 4)  4 Rh 3.18, 4 Au 3.18
Rh1 0.2500 0.2500 0.2500 (multiplicity 4)  4 Ac 3.18, 4 Ho 3.18
Au1 0.2500 0.2500 0.7500 (multiplicity 4)  4 Ac 3.18, 4 Ho 3.18

***

Calculated total energy, -93.664, -40.822, -87.900 eV for the cell shown (same order as the records).